# 1
CsPmSnS4 | PBE | optimized geometry

Values from the calculation:
The calculation puts the calculated volume at 31.70 Å³/atom. The value obtained for the magnetic moment is 0.0 μB/f.u. The value obtained for the density is 3.927 Mg/m³. The formation energy without anion corrections is -1231 meV per atom.

a = 6.8806 Å, b = 7.0382 Å, c = 9.6373 Å
α = 90.00°, β = 108.00°, γ = 90.00°
With the nearest neighbours (Å) after each atom.
Positions (direct):
Cs (0.2355, 0.2500, 0.4407)  2 S 3.37-3.51
Cs (0.7645, 0.7500, 0.5593)  2 S 3.37-3.51
Pm (0.2847, 0.2500, 0.9518)  6 S 2.84-2.91
Pm (0.7153, 0.7500, 0.0482)  6 S 2.84-2.91
Sn (0.2614, 0.7500, 0.1602)  4 S 2.38-2.43
Sn (0.7386, 0.2500, 0.8398)  4 S 2.38-2.43
S (0.0326, 0.7500, 0.9173)  1 Sn 2.38
S (0.0543, 0.7500, 0.3172)  1 Sn 2.38
S (0.4932, 0.5073, 0.8079)  1 Sn 2.43
S (0.4932, 0.9927, 0.8079)  1 Sn 2.43
S (0.5068, 0.0073, 0.1921)  1 Sn 2.43
S (0.5068, 0.4927, 0.1921)  1 Sn 2.43
S (0.9457, 0.2500, 0.6828)  1 Sn 2.38
S (0.9674, 0.2500, 0.0827)  1 Sn 2.38

# 2
Cs3TbPm2S6 | PBE | optimized geometry

Values from the calculation:
The calculation puts the calculated volume at 30.72 Å³/atom. The value obtained for the magnetic moment is 0.0 μB/f.u. The value obtained for the density is 4.685 Mg/m³. The formation energy without anion corrections is -1823 meV per atom.

a = 7.2555 Å, b = 7.2555 Å, c = 8.4405 Å
α = 98.23°, β = 98.23°, γ = 120.00°
With the nearest neighbours (Å) after each atom.
Positions (direct):
Cs (0.0000, 0.0000, 0.0000)  6 S 3.50-3.54
Cs (0.3325, 0.6675, 0.0000)  6 S 3.50-3.54
Cs (0.6675, 0.3325, 0.0000)  6 S 3.50-3.54
Tb (0.5000, 0.5000, 0.5000)  6 S 2.81
Pm (0.1666, 0.8334, 0.5000)  6 S 2.86
Pm (0.8334, 0.1666, 0.5000)  6 S 2.86
S (0.1107, 0.4386, 0.3159)  1 Tb 2.81, 2 Pm 2.86
S (0.2336, 0.2336, 0.6846)  1 Tb 2.81, 2 Pm 2.86
S (0.4386, 0.1107, 0.3159)  1 Tb 2.81, 2 Pm 2.86
S (0.5614, 0.8893, 0.6841)  1 Tb 2.81, 2 Pm 2.86
S (0.7664, 0.7664, 0.3154)  1 Tb 2.81, 2 Pm 2.86
S (0.8893, 0.5614, 0.6841)  1 Tb 2.81, 2 Pm 2.86

# 3
Cs3Tb2PmS6 | PBE | optimized geometry

Values from the calculation:
The calculation puts the calculated volume at 30.23 Å³/atom. The value obtained for the magnetic moment is 0.0 μB/f.u. The value obtained for the density is 4.825 Mg/m³. The formation energy without anion corrections is -1828 meV per atom.

a = 7.1999 Å, b = 7.1999 Å, c = 8.4281 Å
α = 98.19°, β = 98.19°, γ = 120.00°
With the nearest neighbours (Å) after each atom.
Positions (direct):
Cs (0.0000, 0.0000, 0.0000)  6 S 3.48-3.52
Cs (0.3340, 0.6660, 0.0000)  6 S 3.49-3.52
Cs (0.6660, 0.3340, 0.0000)  6 S 3.49-3.52
Tb (0.1667, 0.8333, 0.5000)  6 S 2.80
Tb (0.8333, 0.1667, 0.5000)  6 S 2.80
Pm (0.5000, 0.5000, 0.5000)  6 S 2.85
S (0.1001, 0.4389, 0.3167)  2 Tb 2.80, 1 Pm 2.85
S (0.2223, 0.2223, 0.6830)  2 Tb 2.80, 1 Pm 2.85
S (0.4389, 0.1001, 0.3167)  2 Tb 2.80, 1 Pm 2.85
S (0.5611, 0.8999, 0.6833)  2 Tb 2.80, 1 Pm 2.85
S (0.7777, 0.7777, 0.3170)  2 Tb 2.80, 1 Pm 2.85
S (0.8999, 0.5611, 0.6833)  2 Tb 2.80, 1 Pm 2.85

# 4
CsTb4PmS8 | PBE | optimized geometry

Values from the calculation:
The calculation puts the calculated volume at 30.02 Å³/atom. The value obtained for the magnetic moment is 0.0 μB/f.u. The value obtained for the density is 4.623 Mg/m³. The formation energy without anion corrections is -1864 meV per atom.

a = 8.4671 Å, b = 8.4671 Å, c = 8.4671 Å
α = 59.09°, β = 59.09°, γ = 59.09°
With the nearest neighbours (Å) after each atom.
Positions (direct):
Cs (0.0000, 0.0000, 0.0000)  4 S 3.00-3.03
Tb (0.3664, 0.3664, 0.8826)  6 S 2.66-2.95
Tb (0.3664, 0.8826, 0.3664)  6 S 2.66-2.95
Tb (0.7447, 0.7447, 0.7447)  4 S 2.69-2.74
Tb (0.8826, 0.3664, 0.3664)  6 S 2.66-2.95
Pm (0.3649, 0.3649, 0.3649)  6 S 2.74-2.98
S (0.1367, 0.1367, 0.5579)  2 Tb 2.66, 1 Pm 2.74
S (0.1367, 0.5579, 0.1367)  2 Tb 2.66, 1 Pm 2.74
S (0.1389, 0.6148, 0.6148)  3 Tb 2.69-2.95, 1 Pm 2.98
S (0.1435, 0.1435, 0.1435)  3 Tb 2.66
S (0.5579, 0.1367, 0.1367)  2 Tb 2.66, 1 Pm 2.74
S (0.6136, 0.6136, 0.6136)  4 Tb 2.74-2.94
S (0.6148, 0.1389, 0.6148)  3 Tb 2.69-2.95, 1 Pm 2.98
S (0.6148, 0.6148, 0.1389)  3 Tb 2.69-2.95, 1 Pm 2.98

# 5
Cs3Pm3TcS8 | PBE | optimized geometry

Values from the calculation:
The calculation puts the calculated volume at 31.24 Å³/atom. The value obtained for the magnetic moment is 3.0 μB/f.u. The value obtained for the density is 4.210 Mg/m³. The formation energy without anion corrections is -1459 meV per atom.

a = 9.4653 Å, b = 9.4653 Å, c = 9.4653 Å
α = 50.74°, β = 50.74°, γ = 50.74°
With the nearest neighbours (Å) after each atom.
Positions (direct):
Cs (0.0000, 0.5000, 0.5000)  6 S 3.48-3.50
Cs (0.5000, 0.0000, 0.5000)  6 S 3.48-3.50
Cs (0.5000, 0.5000, 0.0000)  6 S 3.48-3.50
Pm (0.0000, 0.0000, 0.5000)  6 S 2.80-2.85
Pm (0.0000, 0.5000, 0.0000)  6 S 2.80-2.85
Pm (0.5000, 0.0000, 0.0000)  6 S 2.80-2.85
Tc (0.5000, 0.5000, 0.5000)  6 S 2.52
S (0.2290, 0.2290, 0.2290)  3 Pm 2.80
S (0.2591, 0.7059, 0.7059)  1 Tc 2.52
S (0.2941, 0.2941, 0.7409)  1 Tc 2.52
S (0.2941, 0.7409, 0.2941)  1 Tc 2.52
S (0.7059, 0.2591, 0.7059)  1 Tc 2.52
S (0.7059, 0.7059, 0.2591)  1 Tc 2.52
S (0.7409, 0.2941, 0.2941)  1 Tc 2.52
S (0.7710, 0.7710, 0.7710)  3 Pm 2.80

# 6
Cs2PmTe2S6 | PBE | optimized geometry

Values from the calculation:
The calculation puts the calculated volume at 35.08 Å³/atom. The value obtained for the magnetic moment is 0.0 μB/f.u. The value obtained for the density is 3.694 Mg/m³. The formation energy without anion corrections is -741 meV per atom.

a = 7.0224 Å, b = 7.0224 Å, c = 9.2374 Å
α = 108.10°, β = 108.10°, γ = 65.76°
With the nearest neighbours (Å) after each atom.
Positions (direct):
Cs (0.1972, 0.1972, 0.1334)  7 S 3.45-3.71
Cs (0.8028, 0.8028, 0.8666)  7 S 3.45-3.71
Pm (0.0000, 0.0000, 0.5000)  6 S 2.84
Te (0.4209, 0.4209, 0.7575)  3 S 2.35-2.49
Te (0.5791, 0.5791, 0.2425)  3 S 2.35-2.49
S (0.1907, 0.7384, 0.2421)  1 Te 2.49
S (0.2478, 0.2478, 0.5263)  1 Te 2.35
S (0.2616, 0.8093, 0.7579)  1 Te 2.49
S (0.7384, 0.1907, 0.2421)  1 Te 2.49
S (0.7522, 0.7522, 0.4737)  1 Te 2.35
S (0.8093, 0.2616, 0.7579)  1 Te 2.49

Copy entry 5 word for word.
Cs3Pm3TcS8 | PBE | optimized geometry

Values from the calculation:
The calculation puts the calculated volume at 31.24 Å³/atom. The value obtained for the magnetic moment is 3.0 μB/f.u. The value obtained for the density is 4.210 Mg/m³. The formation energy without anion corrections is -1459 meV per atom.

a = 9.4653 Å, b = 9.4653 Å, c = 9.4653 Å
α = 50.74°, β = 50.74°, γ = 50.74°
With the nearest neighbours (Å) after each atom.
Positions (direct):
Cs (0.0000, 0.5000, 0.5000)  6 S 3.48-3.50
Cs (0.5000, 0.0000, 0.5000)  6 S 3.48-3.50
Cs (0.5000, 0.5000, 0.0000)  6 S 3.48-3.50
Pm (0.0000, 0.0000, 0.5000)  6 S 2.80-2.85
Pm (0.0000, 0.5000, 0.0000)  6 S 2.80-2.85
Pm (0.5000, 0.0000, 0.0000)  6 S 2.80-2.85
Tc (0.5000, 0.5000, 0.5000)  6 S 2.52
S (0.2290, 0.2290, 0.2290)  3 Pm 2.80
S (0.2591, 0.7059, 0.7059)  1 Tc 2.52
S (0.2941, 0.2941, 0.7409)  1 Tc 2.52
S (0.2941, 0.7409, 0.2941)  1 Tc 2.52
S (0.7059, 0.2591, 0.7059)  1 Tc 2.52
S (0.7059, 0.7059, 0.2591)  1 Tc 2.52
S (0.7409, 0.2941, 0.2941)  1 Tc 2.52
S (0.7710, 0.7710, 0.7710)  3 Pm 2.80